Entry 1:
GdBN2 | the Open Quantum Materials Database | PBE-GGA | relaxed; ρ = 7.2 g/cm3; volume = 271.9 Å³/cell; electronic total energy = -8.4314 eV per atom
1.0
5.941 3.430 2.224
-5.941 3.430 2.224
0.000 -6.860 2.224
Gd B N
6 6 12
Direct
0.000 0.454 0.546
0.046 0.954 0.500
0.454 0.546 0.000
0.500 0.046 0.954
0.546 0.000 0.454
0.954 0.500 0.046
0.002 0.123 0.880
0.123 0.880 0.002
0.380 0.623 0.502
0.502 0.380 0.623
0.623 0.502 0.380
0.880 0.002 0.123
0.001 0.245 0.755
0.002 0.877 0.127
0.127 0.002 0.877
0.245 0.755 0.001
0.255 0.745 0.501
0.377 0.502 0.627
0.501 0.255 0.745
0.502 0.627 0.377
0.627 0.377 0.502
0.745 0.501 0.255
0.755 0.001 0.245
0.877 0.127 0.002

Entry 2:
Nd2GdNi2B2N3 | the Open Quantum Materials Database | PBE-GGA | relaxed; ρ = 8.0 g/cm3; volume = 130.6 Å³/cell; electronic total energy = -7.4594 eV per atom
1.0
-1.797 1.797 10.110
1.797 -1.797 10.110
1.797 1.797 -10.110
Nd Gd Ni B N
2 1 2 2 3
Direct
0.125 0.125 0.000
0.875 0.875 0.000
0.500 0.500 0.000
0.250 0.750 0.500
0.750 0.250 0.500
0.309 0.309 0.000
0.691 0.691 0.000
0.000 0.000 0.000
0.381 0.381 0.000
0.619 0.619 0.000

Entry 3:
NdGd2Ni2B2N3 | the Open Quantum Materials Database | PBE-GGA | relaxed; ρ = 8.3 g/cm3; volume = 128.2 Å³/cell; electronic total energy = -7.4794 eV per atom
1.0
-1.775 1.775 10.171
1.775 -1.775 10.171
1.775 1.775 -10.171
Nd Gd Ni B N
1 2 2 2 3
Direct
0.000 0.000 0.000
0.375 0.375 0.000
0.625 0.625 0.000
0.250 0.750 0.500
0.750 0.250 0.500
0.192 0.192 0.000
0.808 0.808 0.000
0.121 0.121 0.000
0.500 0.500 0.000
0.879 0.879 0.000

Entry 4:
PrGd2Ni2B2N3 | the Open Quantum Materials Database | PBE-GGA | relaxed; ρ = 8.2 g/cm3; volume = 128.6 Å³/cell; electronic total energy = -7.4589 eV per atom
1.0
-1.777 1.777 10.184
1.777 -1.777 10.184
1.777 1.777 -10.184
Pr Gd Ni B N
1 2 2 2 3
Direct
0.000 0.000 0.000
0.375 0.375 0.000
0.625 0.625 0.000
0.250 0.750 0.500
0.750 0.250 0.500
0.192 0.192 0.000
0.808 0.808 0.000
0.121 0.121 0.000
0.500 0.500 0.000
0.879 0.879 0.000

Entry 5:
PrGdNi2B2N2 | the Open Quantum Materials Database | PBE-GGA | relaxed; ρ = 7.9 g/cm3; volume = 97.5 Å³/cell; electronic total energy = -7.3127 eV per atom
1.0
3.595 0.000 0.000
0.000 3.595 0.000
0.000 0.000 7.540
Pr Gd Ni B N
1 1 2 2 2
Direct
0.000 0.000 0.000
0.500 0.500 0.342
0.000 0.500 0.669
0.500 0.000 0.669
0.000 0.000 0.519
0.500 0.500 0.828
0.000 0.000 0.327
0.500 0.500 0.022

Entry 6:
SmGdNi2B2N2 | the Open Quantum Materials Database | PBE-GGA | relaxed; ρ = 8.3 g/cm3; volume = 95.2 Å³/cell; electronic total energy = -7.3593 eV per atom
1.0
3.552 0.000 0.000
0.000 3.552 0.000
0.000 0.000 7.549
Sm Gd Ni B N
1 1 2 2 2
Direct
0.000 0.000 0.000
0.500 0.500 0.339
0.000 0.500 0.669
0.500 0.000 0.669
0.000 0.000 0.512
0.500 0.500 0.828
0.000 0.000 0.319
0.500 0.500 0.022

Entry 7:
Tb2GdNi2B2N3 | the Open Quantum Materials Database | PBE-GGA | relaxed; ρ = 8.8 g/cm3; volume = 123.2 Å³/cell; electronic total energy = -7.5365 eV per atom
1.0
-1.750 1.750 10.065
1.750 -1.750 10.065
1.750 1.750 -10.065
Tb Gd Ni B N
2 1 2 2 3
Direct
0.124 0.124 0.000
0.876 0.876 0.000
0.500 0.500 0.000
0.250 0.750 0.500
0.750 0.250 0.500
0.310 0.310 0.000
0.690 0.690 0.000
0.000 0.000 0.000
0.382 0.382 0.000
0.618 0.618 0.000

Entry 8:
TbGd2Ni2B2N3 | the Open Quantum Materials Database | PBE-GGA | relaxed; ρ = 8.8 g/cm3; volume = 123.7 Å³/cell; electronic total energy = -7.5356 eV per atom
1.0
-1.753 1.753 10.062
1.753 -1.753 10.062
1.753 1.753 -10.062
Tb Gd Ni B N
1 2 2 2 3
Direct
0.000 0.000 0.000
0.376 0.376 0.000
0.624 0.624 0.000
0.250 0.750 0.500
0.750 0.250 0.500
0.190 0.190 0.000
0.810 0.810 0.000
0.118 0.118 0.000
0.500 0.500 0.000
0.882 0.882 0.000

Computed magnetic moment (μB/f.u.) in order:
0.00; 0.00; 0.00; 0.00; 0.01; 0.00; 0.00; 0.00